# CrIn2W2

A relaxed CrIn2W2 crystal (GGA-PBE, the Alexandria database).

The value obtained for the calculated formation energy is 0.770 eV per atom. The calculated total energy is -7.4314 eV per atom. The space group is No. 127. The value obtained for the spin magnetization is 0.246 μB/f.u.

Cell: 6.3633 6.3633 4.6412 Å, 90.00 90.00 90.00°
Fractional coordinates of all 10 atoms:
Cr 0.0000 0.0000 0.0000
Cr 0.5000 0.5000 0.0000
In 0.1718 0.3282 0.5000
In 0.3282 0.8282 0.5000
In 0.6718 0.1718 0.5000
In 0.8282 0.6718 0.5000
W 0.1432 0.6432 0.0000
W 0.3568 0.1432 0.0000
W 0.6432 0.8568 0.0000
W 0.8568 0.3568 0.0000